Entry from Alexandria: an optimized crystal structure of Pr4CoPb2 (PBE).

a = 5.066 Å, b = 5.066 Å, c = 9.429 Å
α = 74.42°, β = 74.42°, γ = 90.00°
Fractional positions:
1 Pr 0.500 0.000 0.000
2 Pr 0.174 0.174 0.652
3 Pr 0.000 0.500 0.000
4 Pr 0.826 0.826 0.348
5 Pb 0.640 0.640 0.720
6 Pb 0.360 0.360 0.280
7 Co 0.000 0.000 0.000

The formation enthalpy at 0 K comes out at -0.31 eV per atom. As for the total energy: -35.8 eV/f.u. The value obtained for the density of states at the Fermi level is 4.09 states/eV/f.u. As for the symmetry: I4/mmm, No. 139. The calculation puts the excess energy over the best structure of this formula in the dataset at 2.4 kJ/mol of atoms.